# CaZrTe PBE-GGA relaxed
# Energy relative to the elements, uncorrected: -307 meV per atom
# Magnetization: 0.0 μB/f.u.
# D(E_F): 1.167 states/eV per atom
# E above lowest polymorph: 211 meV per atom
data_CaZrTe
_cell_length_a 4.9643
_cell_length_b 4.9643
_cell_length_c 3.9901
_cell_angle_alpha 90.00
_cell_angle_beta 90.00
_cell_angle_gamma 120.00
_space_group_name_H-M_alt 'P -6 m 2'
_space_group_IT_number 187
_space_group_name_Hall 'P -6 2'
loop_
_atom_site_label
_atom_site_fract_x
_atom_site_fract_y
_atom_site_fract_z
Ca1 0.0000 0.0000 0.0000
Zr1 0.3333 0.6667 0.5000
Te1 0.6667 0.3333 0.5000